VASP calculation (PBE) on an optimized crystal structure of NaTbFeSe3.

**E above lowest polymorph**: 0.025 eV per atom
**Calculated density**: 5.31 g/cm³

Cell: 7.0560 7.0560 10.8140 Å, 90.00 90.00 146.55°
Positions (direct):
Na (0.2434, 0.7566, 0.7500)
Na (0.7566, 0.2434, 0.2500)
Tb (0.0000, 0.0000, 0.0000)
Tb (0.0000, 0.0000, 0.5000)
Fe (0.4728, 0.5272, 0.2500)
Fe (0.5272, 0.4728, 0.7500)
Se (0.0812, 0.9188, 0.2500)
Se (0.3627, 0.6373, 0.0739)
Se (0.3627, 0.6373, 0.4261)
Se (0.6373, 0.3627, 0.5739)
Se (0.6373, 0.3627, 0.9261)
Se (0.9188, 0.0812, 0.7500)